DFT (GGA-PBE) results for Cd2SiRh after structural relaxation.

As for the total moment: 0.0000 μB/atom. Its raw formation energy is -0.8 eV per formula unit. The final energy is -15.36 eV for the cell shown.

It has space group P4mm (No. 99), with a = 3.178 Å, b = 3.178 Å, c = 7.072 Å, α = 90.00°, β = 90.00° and γ = 90.00°. The inequivalent atoms are Cd at (0.000, 0.000, 0.000), Cd at (0.500, 0.500, 0.300), Si at (0.500, 0.500, 0.713) and Rh at (0.000, 0.000, 0.583).

---

DFT (GGA-PBE) results for Cs2BaHgI6 after structural relaxation.

As for the total moment: 0.0000 μB/atom. Its raw formation energy is -11.9 eV per formula unit. The final energy is -25.16 eV for the cell shown.

It has space group P1 (No. 1), with a = 8.811 Å, b = 8.817 Å, c = 8.821 Å, α = 62.56°, β = 62.57° and γ = 62.57°. The inequivalent atoms are Cs at (0.000, 0.000, 0.000), Cs at (0.473, 0.472, 0.473), Ba at (0.737, 0.736, 0.737), Hg at (0.237, 0.236, 0.237), I at (0.010, 0.396, 0.548), I at (0.078, 0.924, 0.462), I at (0.396, 0.548, 0.011), I at (0.464, 0.077, 0.925), I at (0.548, 0.011, 0.396) and I at (0.925, 0.462, 0.077).

---

DFT (GGA-PBE) results for Tm3ScRu4 after structural relaxation.

As for the total moment: 0.0000 μB/atom. The final energy is -120.72 eV for the cell shown. The formation energy from the elements comes out at -439 meV per atom.

It has space group I4/mmm (No. 139), with a = 4.697 Å, b = 4.697 Å, c = 13.250 Å, α = 90.00°, β = 90.00° and γ = 90.00°. The inequivalent atoms are Tm at (0.000, 0.000, 0.000), Tm at (0.000, 0.000, 0.253), Sc at (0.000, 0.000, 0.500) and Ru at (0.000, 0.500, 0.122).

---

DFT (GGA-PBE) results for DyZr2NbN4 after structural relaxation.

As for the total moment: 0.0000 μB/atom. Its raw formation energy is -11.9 eV per formula unit. The final energy is -76.97 eV for the cell shown.

It has space group P2/m (No. 10), with a = 5.673 Å, b = 3.271 Å, c = 5.681 Å, α = 90.00°, β = 109.27° and γ = 90.00°. The inequivalent atoms are Dy at (0.000, 0.000, 0.000), Zr at (0.000, 0.500, 0.500), Zr at (0.500, 0.000, 0.500), Nb at (0.500, 0.500, 0.000), N at (0.256, 0.000, 0.746) and N at (0.260, 0.500, 0.261).